No. 1
{"formula": "CsErFe2Br8", "functional": "PBE", "state": "relaxed", "crystal_system": "monoclinic", "raw_formation_energy_mev_per_atom": -1097, "total_energy_ev_per_cell": -48.888, "lattice": [[5.6747, -3.8691, 0.0000], [5.6747, 3.8691, 0.0000], [-1.3138, 0.0000, 10.4622]], "species": ["Cs", "Er", "Fe", "Fe", "Br", "Br", "Br", "Br", "Br", "Br", "Br", "Br"], "fractional_positions": [[0.0000, 0.0000, 0.0000], [0.0000, 0.0000, 0.5000], [0.3815, 0.3815, 0.7037], [0.6185, 0.6185, 0.2963], [0.2304, 0.7318, 0.3056], [0.2452, 0.2452, 0.5040], [0.2682, 0.7696, 0.6944], [0.3145, 0.3145, 0.9071], [0.6855, 0.6855, 0.0929], [0.7318, 0.2304, 0.3056], [0.7548, 0.7548, 0.4960], [0.7696, 0.2682, 0.6944]]}

No. 2
{"formula": "TiGaTeN2", "functional": "PBE", "state": "relaxed", "crystal_system": "tetragonal", "relative_energy_kj_per_mol_fu": 0, "raw_formation_energy_mev_per_atom": 265, "total_energy_ev_per_cell": -29.387, "lattice": [[3.9361, 0.0000, 0.0000], [0.0000, 3.9361, 0.0000], [0.0000, 0.0000, 5.8370]], "species": ["Ti", "Ga", "Te", "N", "N"], "fractional_positions": [[0.0000, 0.0000, 0.0000], [0.5000, 0.5000, 0.5000], [0.0000, 0.0000, 0.5000], [0.0000, 0.5000, 0.0000], [0.5000, 0.0000, 0.0000]]}

No. 3
{"formula": "LiRhPbO4", "functional": "PBE", "state": "relaxed", "crystal_system": "orthorhombic", "raw_formation_energy_mev_per_atom": -1131, "total_energy_ev_per_cell": -81.450, "lattice": [[-3.1310, 3.3652, 4.5128], [3.1310, -3.3652, 4.5128], [3.1310, 3.3652, -4.5128]], "species": ["Li", "Li", "Rh", "Rh", "Pb", "Pb", "O", "O", "O", "O", "O", "O", "O", "O"], "fractional_positions": [[0.3524, 0.1024, 0.2500], [0.6476, 0.8976, 0.7500], [0.0000, 0.0000, 0.5000], [0.0000, 0.5000, 0.0000], [0.0000, 0.5000, 0.5000], [0.5000, 0.5000, 0.0000], [0.1978, 0.7466, 0.4512], [0.2046, 0.2534, 0.9512], [0.2271, 0.2333, 0.5062], [0.2271, 0.7209, 0.9938], [0.7729, 0.2791, 0.0062], [0.7729, 0.7667, 0.4938], [0.7954, 0.7466, 0.0488], [0.8022, 0.2534, 0.5488]]}

No. 4
{"formula": "Y2MoP", "functional": "PBE", "state": "relaxed", "crystal_system": "cubic", "delta_e_f_ev_per_atom": 0.16, "total_energy_ev_per_cell": -28.527, "lattice": [[0.0000, 3.3956, 3.3956], [3.3956, 0.0000, 3.3956], [3.3956, 3.3956, 0.0000]], "species": ["Y", "Y", "Mo", "P"], "fractional_positions": [[0.0000, 0.0000, 0.0000], [0.2500, 0.2500, 0.2500], [0.5000, 0.5000, 0.5000], [0.7500, 0.7500, 0.7500]]}